The following is a PBE calculation of a relaxed structure of ErZrZnAu, from Alexandria via LeMat-Bulk.

* calculated volume: 84.2 Å³ per cell
* D(E_F): 3.76 states/eV/f.u.
* space-group type: F-43m, No. 216
* energy of formation from the pure elements: -1.66 eV/f.u.

The structure in extended XYZ format:
```
4
Lattice="4.9206 0.0000 0.0000 2.4603 4.2613 0.0000 2.4603 1.4204 4.0176" Properties=species:S:1:pos:R:3 pbc="T T T"
Zn 2.4603 1.4204 1.0044
Au 7.3808 4.2613 3.0132
Er 4.9206 2.8409 2.0088
Zr 0.0000 0.0000 0.0000
```